TlIn2Cu | PBE | relaxed

Geometry as CIF:
```
data_TlIn2Cu
_cell_length_a 7.575
_cell_length_b 3.594
_cell_length_c 7.754
_cell_angle_alpha 90.00
_cell_angle_beta 102.85
_cell_angle_gamma 90.00
_symmetry_space_group_name_H-M 'C 1 2/m 1'
_symmetry_Int_Tables_number 12
loop_
_symmetry_equiv_pos_as_xyz
'x,y,z'
'-x,-y,-z'
'-x,y,-z'
'x,-y,z'
'x+1/2,y+1/2,z'
'-x+1/2,-y+1/2,-z'
'-x+1/2,y+1/2,-z'
'x+1/2,-y+1/2,z'
loop_
_atom_site_label
_atom_site_fract_x
_atom_site_fract_y
_atom_site_fract_z
Tl1 0.000 0.000 0.000
In1 0.235 0.000 0.684
Cu1 0.000 0.500 0.500
```

Values from the calculation:
- formation energy (meV per atom) = 127
- crystal system = monoclinic
- total DFT energy (no corrections) (eV/atom) = -2.8577
- N(E_F) (states/eV/f.u.) = 1.3
- total magnetic moment (μB per formula unit) = 0.00

ZrSc2Cl | PBE | relaxed

Geometry as CIF:
```
data_ZrSc2Cl
_cell_length_a 3.771
_cell_length_b 5.166
_cell_length_c 9.058
_cell_angle_alpha 90.00
_cell_angle_beta 90.00
_cell_angle_gamma 90.00
_symmetry_space_group_name_H-M 'C m m 2'
_symmetry_Int_Tables_number 35
loop_
_symmetry_equiv_pos_as_xyz
'x,y,z'
'-x,-y,z'
'-x,y,z'
'x,-y,z'
'x+1/2,y+1/2,z'
'-x+1/2,-y+1/2,z'
'-x+1/2,y+1/2,z'
'x+1/2,-y+1/2,z'
loop_
_atom_site_label
_atom_site_fract_x
_atom_site_fract_y
_atom_site_fract_z
Zr1 0.000 0.000 0.000
Sc1 0.000 0.000 0.533
Sc2 0.000 0.500 0.263
Cl1 0.000 0.500 0.756
```

Values from the calculation:
- excess energy over the best structure of this formula in the dataset (meV/atom) = 269
- crystal system = orthorhombic
- total DFT energy (no corrections) (eV/atom) = -6.1288
- N(E_F) (states/eV/f.u.) = 5.5
- total magnetic moment (μB per formula unit) = 0.00

CaCeCdSb | PBE | relaxed

Geometry as CIF:
```
data_CaCeCdSb
_cell_length_a 7.666
_cell_length_b 7.666
_cell_length_c 7.666
_cell_angle_alpha 90.00
_cell_angle_beta 90.00
_cell_angle_gamma 90.00
_symmetry_space_group_name_H-M 'F -4 3 m'
_symmetry_Int_Tables_number 216
_symmetry_space_group_name_Hall 'F -4 2 3'
loop_
_atom_site_label
_atom_site_fract_x
_atom_site_fract_y
_atom_site_fract_z
Ca1 0.000 0.000 0.000
Ce1 0.000 0.000 0.500
Cd1 0.250 0.250 0.250
Sb1 0.250 0.250 0.750
```

Values from the calculation:
- crystal system = cubic
- total DFT energy (no corrections) (eV/atom) = -3.7667
- N(E_F) (states/eV/f.u.) = 8.5
- total magnetic moment (μB per formula unit) = 1.12

ScSiTcOs2 | PBE | relaxed

Geometry as CIF:
```
data_ScSiTcOs2
_cell_length_a 4.649
_cell_length_b 4.649
_cell_length_c 4.540
_cell_angle_alpha 90.00
_cell_angle_beta 90.00
_cell_angle_gamma 90.00
_symmetry_space_group_name_H-M 'P 4/m m m'
_symmetry_Int_Tables_number 123
_symmetry_space_group_name_Hall '-P 4 2'
loop_
_atom_site_label
_atom_site_fract_x
_atom_site_fract_y
_atom_site_fract_z
Sc1 0.000 0.000 0.000
Si1 0.500 0.500 0.500
Tc1 0.000 0.000 0.500
Os1 0.000 0.500 0.000
```

Values from the calculation:
- crystal system = tetragonal
- total DFT energy (no corrections) (eV/atom) = -6.6632
- N(E_F) (states/eV/f.u.) = 5.2
- total magnetic moment (μB per formula unit) = 2.03

CeHo2In2 | PBE | relaxed

Geometry as CIF:
```
data_CeHo2In2
_cell_length_a 5.1350
_cell_length_b 5.1350
_cell_length_c 12.5456
_cell_angle_alpha 90.00
_cell_angle_beta 90.00
_cell_angle_gamma 120.00
_symmetry_space_group_name_H-M 'P 63/m m c'
_symmetry_Int_Tables_number 194
_symmetry_space_group_name_Hall '-P 6c 2c'
loop_
_atom_site_label
_atom_site_fract_x
_atom_site_fract_y
_atom_site_fract_z
Ce1 0.0000 0.0000 0.2500
Ho1 0.0000 0.0000 0.0000
Ho2 0.3333 0.6667 0.2500
In1 0.3333 0.6667 0.6266
```

Values from the calculation:
- formation energy (meV per atom) = -42
- excess energy over the best structure of this formula in the dataset (meV/atom) = 103
- crystal system = hexagonal
- total DFT energy (no corrections) (eV/atom) = -4.1556
- N(E_F) (states/eV/f.u.) = 5.5
- total magnetic moment (μB per formula unit) = 0.00

BaSn | PBE | relaxed

Geometry as CIF:
```
data_BaSn
_cell_length_a 12.310
_cell_length_b 5.915
_cell_length_c 6.939
_cell_angle_alpha 90.00
_cell_angle_beta 90.00
_cell_angle_gamma 90.00
_symmetry_space_group_name_H-M 'P m n 21'
_symmetry_Int_Tables_number 31
loop_
_symmetry_equiv_pos_as_xyz
'x,y,z'
'-x+1/2,-y,z+1/2'
'-x,y,z'
'x+1/2,-y,z+1/2'
loop_
_atom_site_label
_atom_site_fract_x
_atom_site_fract_y
_atom_site_fract_z
Ba1 0.000 0.246 0.000
Ba2 0.211 0.752 0.248
Sn1 0.000 0.429 0.502
Sn2 0.123 0.731 0.767
```

Values from the calculation:
- formation energy (meV per atom) = -479
- crystal system = orthorhombic
- total DFT energy (no corrections) (eV/atom) = -3.4418
- N(E_F) (states/eV/f.u.) = 1.6
- total magnetic moment (μB per formula unit) = 0.00

FeMo | PBE | relaxed

Geometry as CIF:
```
data_FeMo
_cell_length_a 2.676
_cell_length_b 4.491
_cell_length_c 5.016
_cell_angle_alpha 113.71
_cell_angle_beta 105.13
_cell_angle_gamma 91.81
_symmetry_space_group_name_H-M 'P -1'
_symmetry_Int_Tables_number 2
loop_
_symmetry_equiv_pos_as_xyz
'x,y,z'
'-x,-y,-z'
loop_
_atom_site_label
_atom_site_fract_x
_atom_site_fract_y
_atom_site_fract_z
Fe1 0.122 0.318 0.286
Mo1 0.417 0.204 0.781
```

Values from the calculation:
- formation energy (meV per atom) = 202
- crystal system = triclinic
- total DFT energy (no corrections) (eV/atom) = -9.4447
- N(E_F) (states/eV/f.u.) = 2.1
- total magnetic moment (μB per formula unit) = 0.00

Cs3ScGa2O6 | PBE | relaxed

Geometry as CIF:
```
data_Cs3ScGa2O6
_cell_length_a 6.0918
_cell_length_b 6.0918
_cell_length_c 7.6709
_cell_angle_alpha 90.00
_cell_angle_beta 90.00
_cell_angle_gamma 120.00
_symmetry_space_group_name_H-M 'P -3 m 1'
_symmetry_Int_Tables_number 164
_symmetry_space_group_name_Hall '-P 3 2"'
loop_
_atom_site_label
_atom_site_fract_x
_atom_site_fract_y
_atom_site_fract_z
Cs1 0.0000 0.0000 0.0000
Cs2 0.3333 0.6667 0.7689
Sc1 0.0000 0.0000 0.5000
Ga1 0.3333 0.6667 0.3379
O1 0.1634 0.3268 0.3277
```

Values from the calculation:
- crystal system = trigonal
- total DFT energy (no corrections) (eV/atom) = -5.6495
- N(E_F) (states/eV/f.u.) = 0.0
- total magnetic moment (μB per formula unit) = 0.00

Li5Mg6Tl | PBE | relaxed

Geometry as CIF:
```
data_Li5Mg6Tl
_cell_length_a 8.537
_cell_length_b 14.479
_cell_length_c 4.823
_cell_angle_alpha 90.00
_cell_angle_beta 124.32
_cell_angle_gamma 90.00
_symmetry_space_group_name_H-M 'C 1 2/m 1'
_symmetry_Int_Tables_number 12
loop_
_symmetry_equiv_pos_as_xyz
'x,y,z'
'-x,-y,-z'
'-x,y,-z'
'x,-y,z'
'x+1/2,y+1/2,z'
'-x+1/2,-y+1/2,-z'
'-x+1/2,y+1/2,-z'
'x+1/2,-y+1/2,z'
loop_
_atom_site_label
_atom_site_fract_x
_atom_site_fract_y
_atom_site_fract_z
Li1 0.000 0.000 0.000
Li2 0.000 0.168 0.500
Li3 0.000 0.339 0.000
Mg1 0.234 0.000 0.735
Mg2 0.241 0.171 0.241
Tl1 0.000 0.500 0.500
```

Values from the calculation:
- formation energy (meV per atom) = -79
- crystal system = monoclinic
- total DFT energy (no corrections) (eV/atom) = -1.8710
- N(E_F) (states/eV/f.u.) = 5.3
- total magnetic moment (μB per formula unit) = 0.00

La3GeAs | PBE | relaxed

Geometry as CIF:
```
data_La3GeAs
_cell_length_a 5.646
_cell_length_b 5.646
_cell_length_c 5.646
_cell_angle_alpha 90.00
_cell_angle_beta 90.00
_cell_angle_gamma 90.00
_symmetry_space_group_name_H-M 'P m -3 m'
_symmetry_Int_Tables_number 221
_symmetry_space_group_name_Hall '-P 4 2 3'
loop_
_atom_site_label
_atom_site_fract_x
_atom_site_fract_y
_atom_site_fract_z
La1 0.000 0.000 0.500
Ge1 0.500 0.500 0.500
As1 0.000 0.000 0.000
```

Values from the calculation:
- formation energy (meV per atom) = -476
- excess energy over the best structure of this formula in the dataset (meV/atom) = 433
- crystal system = cubic
- total DFT energy (no corrections) (eV/atom) = -5.2862
- N(E_F) (states/eV/f.u.) = 4.1
- total magnetic moment (μB per formula unit) = 0.00

Er6Ir5Pd | PBE | relaxed

Geometry as CIF:
```
data_Er6Ir5Pd
_cell_length_a 4.743
_cell_length_b 14.233
_cell_length_c 7.034
_cell_angle_alpha 90.00
_cell_angle_beta 90.00
_cell_angle_gamma 90.00
_symmetry_space_group_name_H-M 'C m m m'
_symmetry_Int_Tables_number 65
_symmetry_space_group_name_Hall '-C 2 2'
loop_
_atom_site_label
_atom_site_fract_x
_atom_site_fract_y
_atom_site_fract_z
Er1 0.000 0.000 0.246
Er2 0.000 0.331 0.249
Ir1 0.000 0.165 0.500
Ir2 0.000 0.167 0.000
Ir3 0.000 0.500 0.000
Pd1 0.000 0.500 0.500
```

Values from the calculation:
- formation energy (meV per atom) = -908
- crystal system = orthorhombic
- total DFT energy (no corrections) (eV/atom) = -7.3147
- N(E_F) (states/eV/f.u.) = 3.9
- total magnetic moment (μB per formula unit) = 0.00

CaPrNi | PBE | relaxed

Geometry as CIF:
```
data_CaPrNi
_cell_length_a 4.0181
_cell_length_b 4.0181
_cell_length_c 6.6535
_cell_angle_alpha 90.00
_cell_angle_beta 90.00
_cell_angle_gamma 120.00
_symmetry_space_group_name_H-M 'P 3 m 1'
_symmetry_Int_Tables_number 156
loop_
_symmetry_equiv_pos_as_xyz
'x,y,z'
'-y,x-y,z'
'-x+y,-x,z'
'-y,-x,z'
'-x+y,y,z'
'x,x-y,z'
loop_
_atom_site_label
_atom_site_fract_x
_atom_site_fract_y
_atom_site_fract_z
Ca1 0.0000 0.0000 0.0000
Pr1 0.3333 0.6667 0.4739
Ni1 0.6667 0.3333 0.2532
```

Values from the calculation:
- formation energy (meV per atom) = -57
- excess energy over the best structure of this formula in the dataset (meV/atom) = 101
- crystal system = trigonal
- total DFT energy (no corrections) (eV/atom) = -4.2449
- N(E_F) (states/eV/f.u.) = 3.2
- total magnetic moment (μB per formula unit) = 0.00

Question: Look up the N(E_F) of the twelfth one.
Answer: 3.2 states/eV/f.u.

Repeat the ninth record exactly.
Li5Mg6Tl | PBE | relaxed

Geometry as CIF:
```
data_Li5Mg6Tl
_cell_length_a 8.537
_cell_length_b 14.479
_cell_length_c 4.823
_cell_angle_alpha 90.00
_cell_angle_beta 124.32
_cell_angle_gamma 90.00
_symmetry_space_group_name_H-M 'C 1 2/m 1'
_symmetry_Int_Tables_number 12
loop_
_symmetry_equiv_pos_as_xyz
'x,y,z'
'-x,-y,-z'
'-x,y,-z'
'x,-y,z'
'x+1/2,y+1/2,z'
'-x+1/2,-y+1/2,-z'
'-x+1/2,y+1/2,-z'
'x+1/2,-y+1/2,z'
loop_
_atom_site_label
_atom_site_fract_x
_atom_site_fract_y
_atom_site_fract_z
Li1 0.000 0.000 0.000
Li2 0.000 0.168 0.500
Li3 0.000 0.339 0.000
Mg1 0.234 0.000 0.735
Mg2 0.241 0.171 0.241
Tl1 0.000 0.500 0.500
```

Values from the calculation:
- formation energy (meV per atom) = -79
- crystal system = monoclinic
- total DFT energy (no corrections) (eV/atom) = -1.8710
- N(E_F) (states/eV/f.u.) = 5.3
- total magnetic moment (μB per formula unit) = 0.00